A geometry-optimized K2Ni2MoO6 structure. Source: Alexandria via LeMat-Bulk, functional PBE with a Hubbard U.

The calculation puts the total energy at -59.9 eV for the cell shown. As for the crystal system: monoclinic. As for the symmetry: C2/m, No. 12.

The structure in POSCAR format:
```
K2Ni2MoO6
1.0
5.304 0.003 0.008
-2.619 4.612 0.008
-1.005 -1.728 6.204
O K Mo Ni
6 2 1 2
Direct
0.754 0.754 0.671
0.060 0.372 0.673
0.372 0.060 0.673
0.246 0.246 0.329
0.940 0.628 0.327
0.628 0.940 0.327
0.827 0.173 0.000
0.173 0.827 0.000
0.000 0.000 0.500
0.665 0.335 0.500
0.335 0.665 0.500
```